A.
Here is a relaxed structure of Ta2FeBr from the Alexandria database. Energies are from GGA-PBEsol.

Results
Fermi-level density of states in states/eV/cell: 6.9
Spin magnetization in Bohr magnetons per cell: 4.3
Calculated density in g cm⁻³: 12.05

Cell lengths 3.269, 4.961, 8.455 Å; angles 90.00, 90.00, 90.00 degrees
Space group Cmm2 (No. 35)
One atom of each set of equivalent atoms:
1 Ta 0.000 0.000 0.000 x2
2 Ta 0.000 0.500 0.264 x2
3 Fe 0.000 0.000 0.486 x2
4 Br 0.000 0.500 0.742 x2

=====

B.
Here is a relaxed structure of Ta2FeBr from the Alexandria database. Energies are from GGA-PBEsol.

Results
Fermi-level density of states in states/eV/cell: 8.9
Spin magnetization in Bohr magnetons per cell: 2.9
Calculated density in g cm⁻³: 13.01

Cell lengths 3.729, 3.729, 9.136 Å; angles 90.00, 90.00, 90.00 degrees
Space group I-4m2 (No. 119)
One atom of each set of equivalent atoms:
1 Ta 0.000 0.000 0.000 x2
2 Ta 0.000 0.500 0.250 x2
3 Fe 0.000 0.500 0.750 x2
4 Br 0.000 0.000 0.500 x2

=====

Most favorable first, least favorable last: A, B

=====

A.
Here is a relaxed structure of Ta2FeBr from the Alexandria database. Energies are from GGA-PBEsol.

Results
Fermi-level density of states in states/eV/cell: 7.9
Spin magnetization in Bohr magnetons per cell: 3.1
Calculated density in g cm⁻³: 13.19

Cell lengths 4.352, 4.352, 6.617 Å; angles 90.00, 90.00, 90.00 degrees
Space group I4/mmm (No. 139)
One atom of each set of equivalent atoms:
1 Ta 0.000 0.500 0.250 x4
2 Fe 0.000 0.000 0.000 x2
3 Br 0.000 0.000 0.500 x2

=====

B.
Here is a relaxed structure of Ta2FeBr from the Alexandria database. Energies are from GGA-PBEsol.

Results
Fermi-level density of states in states/eV/cell: 15.1
Spin magnetization in Bohr magnetons per cell: 4.2
Calculated density in g cm⁻³: 12.76

Cell lengths 6.374, 6.374, 6.374 Å; angles 90.00, 90.00, 90.00 degrees
Space group F-43m (No. 216)
One atom of each set of equivalent atoms:
1 Ta 0.000 0.000 0.000 x4
2 Ta 0.250 0.250 0.250 x4
3 Fe 0.000 0.000 0.500 x4
4 Br 0.250 0.250 0.750 x4

=====

Most favorable first, least favorable last: A, B

=====

A.
Here is a relaxed structure of TaFe2Br from the Alexandria database. Energies are from GGA-PBEsol.

Results
Fermi-level density of states in states/eV/cell: 7.9
Spin magnetization in Bohr magnetons per cell: 7.7
Calculated density in g cm⁻³: 10.83

Cell lengths 4.325, 4.325, 6.106 Å; angles 90.00, 90.00, 90.00 degrees
Space group I-4m2 (No. 119)
One atom of each set of equivalent atoms:
1 Ta 0.000 0.000 0.000 x2
2 Fe 0.000 0.000 0.500 x2
3 Fe 0.000 0.500 0.750 x2
4 Br 0.000 0.500 0.250 x2

=====

B.
Here is a relaxed structure of TaFe2Br from the Alexandria database. Energies are from GGA-PBEsol.

Results
Fermi-level density of states in states/eV/cell: 4.6
Spin magnetization in Bohr magnetons per cell: 3.0
Calculated density in g cm⁻³: 11.02

Cell lengths 2.968, 4.253, 4.447 Å; angles 90.00, 90.00, 90.00 degrees
Space group Pmmm (No. 47)
One atom of each set of equivalent atoms:
1 Ta 0.000 0.000 0.000 x1
2 Fe 0.000 0.500 0.500 x1
3 Fe 0.500 0.500 0.000 x1
4 Br 0.500 0.000 0.500 x1

=====

Most favorable first, least favorable last: B, A

=====

A.
Here is a relaxed structure of Fe2TcBr from the Alexandria database. Energies are from GGA-PBEsol.

Results
Fermi-level density of states in states/eV/cell: 5.1
Spin magnetization in Bohr magnetons per cell: 5.0
Calculated density in g cm⁻³: 8.90

Cell lengths 2.880, 4.296, 4.368 Å; angles 90.00, 90.00, 90.00 degrees
Space group Pmmm (No. 47)
One atom of each set of equivalent atoms:
1 Fe 0.000 0.000 0.000 x1
2 Fe 0.500 0.500 0.000 x1
3 Tc 0.000 0.500 0.500 x1
4 Br 0.500 0.000 0.500 x1

=====

B.
Here is a relaxed structure of Fe2TcBr from the Alexandria database. Energies are from GGA-PBEsol.

Results
Fermi-level density of states in states/eV/cell: 3.0
Spin magnetization in Bohr magnetons per cell: 3.8
Calculated density in g cm⁻³: 8.90

Cell lengths 2.867, 2.867, 6.575 Å; angles 90.00, 90.00, 90.00 degrees
Space group P4/mmm (No. 123)
One atom of each set of equivalent atoms:
1 Fe 0.000 0.000 0.241 x2
2 Tc 0.500 0.500 0.000 x1
3 Br 0.500 0.500 0.500 x1

=====

C.
Here is a relaxed structure of Fe2TcBr from the Alexandria database. Energies are from GGA-PBEsol.

Results
Fermi-level density of states in states/eV/cell: 11.5
Spin magnetization in Bohr magnetons per cell: 9.8
Calculated density in g cm⁻³: 8.92

Cell lengths 2.905, 4.329, 8.575 Å; angles 90.00, 90.00, 90.00 degrees
Space group Imm2 (No. 44)
One atom of each set of equivalent atoms:
1 Fe 0.000 0.000 0.000 x2
2 Fe 0.000 0.500 0.264 x2
3 Tc 0.000 0.500 0.772 x2
4 Br 0.000 0.000 0.518 x2

=====

Most favorable first, least favorable last: B, C, A

=====

A.
Here is a relaxed structure of FeTe2Br from the Alexandria database. Energies are from GGA-PBEsol.

Results
Fermi-level density of states in states/eV/cell: 13.2
Spin magnetization in Bohr magnetons per cell: 4.8
Calculated density in g cm⁻³: 6.91

Cell lengths 3.4838, 3.4838, 26.8173 Å; angles 90.00, 90.00, 120.00 degrees
Space group R3m (No. 160, hexagonal axes)
One atom of each set of equivalent atoms:
1 Fe 0.0000 0.0000 0.0000 x3
2 Te 0.0000 0.0000 0.2757 x3
3 Te 0.0000 0.0000 0.5075 x3
4 Br 0.0000 0.0000 0.7213 x3

=====

B.
Here is a relaxed structure of FeTe2Br from the Alexandria database. Energies are from GGA-PBEsol.

Results
Fermi-level density of states in states/eV/cell: 15.3
Spin magnetization in Bohr magnetons per cell: 12.6
Calculated density in g cm⁻³: 7.21

Cell lengths 7.114, 7.114, 7.114 Å; angles 90.00, 90.00, 90.00 degrees
Space group F-43m (No. 216)
One atom of each set of equivalent atoms:
1 Fe 0.000 0.000 0.000 x4
2 Te 0.000 0.000 0.500 x4
3 Te 0.250 0.250 0.750 x4
4 Br 0.250 0.250 0.250 x4

=====

Most favorable first, least favorable last: A, B

=====

A.
Here is a relaxed structure of Fe2TeBr from the Alexandria database. Energies are from GGA-PBEsol.

Results
Fermi-level density of states in states/eV/cell: 5.0
Spin magnetization in Bohr magnetons per cell: 5.3
Calculated density in g cm⁻³: 7.10

Cell lengths 3.351, 3.351, 6.647 Å; angles 90.00, 90.00, 90.00 degrees
Space group P4/mmm (No. 123)
One atom of each set of equivalent atoms:
1 Fe 0.000 0.000 0.187 x2
2 Te 0.500 0.500 0.000 x1
3 Br 0.500 0.500 0.500 x1

=====

B.
Here is a relaxed structure of Fe2TeBr from the Alexandria database. Energies are from GGA-PBEsol.

Results
Fermi-level density of states in states/eV/cell: 4.3
Spin magnetization in Bohr magnetons per cell: 5.9
Calculated density in g cm⁻³: 6.57

Cell lengths 3.153, 4.010, 6.378 Å; angles 90.00, 90.00, 90.00 degrees
Space group Pmmm (No. 47)
One atom of each set of equivalent atoms:
1 Fe 0.000 0.000 0.000 x1
2 Fe 0.500 0.000 0.500 x1
3 Te 0.000 0.500 0.500 x1
4 Br 0.500 0.500 0.000 x1

=====

Most favorable first, least favorable last: A, B

=====

A.
Here is a relaxed structure of TlFe2Br from the Alexandria database. Energies are from GGA-PBEsol.

Results
Fermi-level density of states in states/eV/cell: 5.3
Spin magnetization in Bohr magnetons per cell: 5.4
Calculated density in g cm⁻³: 9.95

Cell lengths 3.113, 3.113, 6.822 Å; angles 90.00, 90.00, 90.00 degrees
Space group P4/mmm (No. 123)
One atom of each set of equivalent atoms:
1 Tl 0.000 0.000 0.000 x1
2 Fe 0.500 0.500 0.277 x2
3 Br 0.000 0.000 0.500 x1

=====

B.
Here is a relaxed structure of TlFe2Br from the Alexandria database. Energies are from GGA-PBEsol.

Results
Fermi-level density of states in states/eV/cell: 12.0
Spin magnetization in Bohr magnetons per cell: 17.1
Calculated density in g cm⁻³: 9.51

Cell lengths 3.1535, 3.1535, 24.0827 Å; angles 90.00, 90.00, 120.00 degrees
Space group R-3m (No. 166, hexagonal axes)
One atom of each set of equivalent atoms:
1 Tl 0.0000 0.0000 0.0000 x3
2 Fe 0.0000 0.0000 0.2449 x6
3 Br 0.0000 0.0000 0.5000 x3

=====

Most favorable first, least favorable last: B, A